1.
## CaMg5Au3 (GGA-PBE)

Data for a relaxed CaMg5Au3 crystal.

Output
Formation enthalpy at 0 K = -468 meV per atom
D(E_F) = 0.399 states/eV/atom
Crystal system = orthorhombic

abc: 3.9966 14.7694 13.7823
angles: 90.00 90.00 90.00
Space group Cmcm (No. 63)
Unique sites:
1 Ca 0.0000 0.1637 0.2500
2 Mg 0.0000 0.0000 0.0000
3 Mg 0.0000 0.1998 0.5626
4 Mg 0.0000 0.4446 0.1455
5 Au 0.0000 0.1416 0.7500
6 Au 0.0000 0.3826 0.5603



2.
## Na3IrRh2Se6 (GGA-PBE)

Data for a relaxed Na3IrRh2Se6 crystal.

Output
Formation energy from raw total energies = -647 meV per atom
Crystal system = monoclinic

abc: 6.6461 11.5080 6.9476
angles: 90.00 108.60 90.00
Space group C2/m (No. 12)
Unique sites:
1 Na 0.0000 0.0000 0.0000
2 Na 0.0000 0.3330 0.0000
3 Ir 0.0000 0.5000 0.5000
4 Rh 0.0000 0.1667 0.5000
5 Se 0.2291 0.3336 0.6880
6 Se 0.2300 0.0000 0.6882



3.
## Tl2TcPd (GGA-PBE)

Data for a relaxed Tl2TcPd crystal.

Output
Formation enthalpy at 0 K = 730 meV per atom
D(E_F) = 1.088 states/eV/atom
Crystal system = tetragonal

abc: 4.2692 4.2692 19.3273
angles: 90.00 90.00 90.00
Space group I-42d (No. 122)
Unique sites:
1 Tl 0.2501 0.2500 0.1250
2 Tc 0.0000 0.0000 0.0000
3 Pd 0.0000 0.0000 0.5000



4.
## Ce6HgGe2 (GGA-PBE)

Data for a relaxed Ce6HgGe2 crystal.

Output
Formation enthalpy at 0 K = -262 meV per atom
D(E_F) = 2.497 states/eV/atom
Crystal system = hexagonal

abc: 8.8665 8.8665 3.0431
angles: 90.00 90.00 120.00
Space group P6/mmm (No. 191)
Unique sites:
1 Ce 0.0000 0.3443 0.0000
2 Hg 0.0000 0.0000 0.5000
3 Ge 0.3333 0.6667 0.5000



5.
## MgAsPt2 (GGA-PBE)

Data for a relaxed MgAsPt2 crystal.

Output
Formation enthalpy at 0 K = -459 meV per atom
D(E_F) = 0.237 states/eV/atom
Crystal system = tetragonal

abc: 3.8962 3.8962 8.5284
angles: 90.00 90.00 90.00
Space group I-4m2 (No. 119)
Unique sites:
1 Mg 0.0000 0.0000 0.0000
2 As 0.0000 0.5000 0.2500
3 Pt 0.0000 0.0000 0.5000
4 Pt 0.0000 0.5000 0.7500



6.
## CaSmAgSn (GGA-PBE)

Data for a relaxed CaSmAgSn crystal.

Output
Formation enthalpy at 0 K = -549 meV per atom
D(E_F) = 0.431 states/eV/atom
Crystal system = cubic

abc: 7.5422 7.5422 7.5422
angles: 90.00 90.00 90.00
Space group F-43m (No. 216)
Unique sites:
1 Ca 0.0000 0.0000 0.0000
2 Sm 0.0000 0.0000 0.5000
3 Ag 0.2500 0.2500 0.2500
4 Sn 0.2500 0.2500 0.7500



7.
## LiTmZrIn (GGA-PBE)

Data for a relaxed LiTmZrIn crystal.

Output
Formation enthalpy at 0 K = -115 meV per atom
D(E_F) = 0.756 states/eV/atom
Crystal system = cubic

abc: 7.1345 7.1345 7.1345
angles: 90.00 90.00 90.00
Space group F-43m (No. 216)
Unique sites:
1 Li 0.0000 0.0000 0.0000
2 Tm 0.2500 0.2500 0.7500
3 Zr 0.2500 0.2500 0.2500
4 In 0.0000 0.0000 0.5000



8.
## Ti4Nb3Sn (GGA-PBE)

Data for a relaxed Ti4Nb3Sn crystal.

Output
Formation enthalpy at 0 K = -121 meV per atom
D(E_F) = 1.339 states/eV/atom
Crystal system = tetragonal

abc: 4.6247 4.6247 6.6374
angles: 90.00 90.00 90.00
Space group P4/mmm (No. 123)
Unique sites:
1 Ti 0.0000 0.5000 0.2361
2 Nb 0.0000 0.0000 0.0000
3 Nb 0.0000 0.0000 0.5000
4 Nb 0.5000 0.5000 0.0000
5 Sn 0.5000 0.5000 0.5000



9.
## Tl3GeSe4 (GGA-PBE)

Data for a relaxed Tl3GeSe4 crystal.

Output
D(E_F) = 0.661 states/eV/atom
Formation energy from raw total energies = -323 meV per atom
Crystal system = orthorhombic

abc: 9.3112 11.0166 9.6241
angles: 90.00 90.00 90.00
Space group Pnma (No. 62)
Unique sites:
1 Tl 0.0833 0.2500 0.1144
2 Tl 0.0909 0.5604 0.3087
3 Ge 0.2070 0.2500 0.5286
4 Se 0.0265 0.7500 0.5728
5 Se 0.1607 0.5715 0.9711
6 Se 0.1664 0.2500 0.7752



10.
## PaTiVC3 (GGA-PBE)

Data for a relaxed PaTiVC3 crystal.

Output
Formation enthalpy at 0 K = -506 meV per atom
D(E_F) = 0.432 states/eV/atom
Crystal system = monoclinic

abc: 5.5058 3.2355 8.1798
angles: 90.00 102.59 90.00
Space group P2_1/m (No. 11)
Unique sites:
1 Pa 0.1456 0.2500 0.1970
2 Ti 0.2705 0.7500 0.5508
3 V 0.3744 0.2500 0.8628
4 C 0.0710 0.2500 0.6631
5 C 0.2658 0.7500 0.9845
6 C 0.4630 0.7500 0.3407



11.
## La3Sb2As (GGA-PBE)

Data for a relaxed La3Sb2As crystal.

Output
D(E_F) = 0.151 states/eV/atom
Formation energy from raw total energies = -1357 meV per atom
Crystal system = orthorhombic

abc: 4.5283 6.4386 13.6562
angles: 90.00 90.00 90.00
Space group Immm (No. 71)
Unique sites:
1 La 0.0000 0.0000 0.0000
2 La 0.0000 0.0000 0.3429
3 Sb 0.0000 0.5000 0.3305
4 As 0.0000 0.5000 0.0000



12.
## InAsP2 (GGA-PBE)

Data for a relaxed InAsP2 crystal.

Output
Formation enthalpy at 0 K = 194 meV per atom
D(E_F) = 0.180 states/eV/atom
Crystal system = tetragonal

abc: 5.6143 5.6143 12.8771
angles: 90.00 90.00 90.00
Space group I-42d (No. 122)
Unique sites:
1 In 0.0000 0.0000 0.0000
2 As 0.0000 0.0000 0.5000
3 P 0.2310 0.2500 0.6250



Number 4 is which compound?
Ce6HgGe2



Which formula does entry 4 have?
Ce6HgGe2



Please write out number 10 again, unchanged.
## PaTiVC3 (GGA-PBE)

Data for a relaxed PaTiVC3 crystal.

Output
Formation enthalpy at 0 K = -506 meV per atom
D(E_F) = 0.432 states/eV/atom
Crystal system = monoclinic

abc: 5.5058 3.2355 8.1798
angles: 90.00 102.59 90.00
Space group P2_1/m (No. 11)
Unique sites:
1 Pa 0.1456 0.2500 0.1970
2 Ti 0.2705 0.7500 0.5508
3 V 0.3744 0.2500 0.8628
4 C 0.0710 0.2500 0.6631
5 C 0.2658 0.7500 0.9845
6 C 0.4630 0.7500 0.3407